# 1
A plane-wave DFT calculation with PBE was carried out for a relaxed Cs3Pb2I2Br5 crystal.

Output
SG   I4/mmm

a b c (Å): 16.180 16.180 16.180
angles (deg): 158.64 158.64 30.38
Positions (direct):
Cs: 0.000 0.000 0.000
Cs: 0.176 0.176 0.000
Cs: 0.824 0.824 0.000
Pb: 0.403 0.403 0.000
Pb: 0.597 0.597 0.000
I: 0.300 0.300 0.000
I: 0.700 0.700 0.000
Br: 0.094 0.594 0.500
Br: 0.406 0.906 0.500
Br: 0.500 0.500 0.000
Br: 0.594 0.094 0.500
Br: 0.906 0.406 0.500

# 2
A plane-wave DFT calculation with PBE was carried out for a relaxed Cs2PbI3Br crystal.

Output
SG   Immm

a b c (Å): 10.711 10.711 10.711
angles (deg): 147.49 145.60 48.06
Positions (direct):
Cs: 0.138 0.138 0.000
Cs: 0.862 0.862 0.000
Pb: 0.500 0.500 0.000
I: 0.000 0.500 0.500
I: 0.334 0.334 0.000
I: 0.666 0.666 0.000
Br: 0.500 0.000 0.500

# 3
A plane-wave DFT calculation with PBE was carried out for a relaxed Cs2PbIBr6 crystal.

Output
SG   I4/mmm

a b c (Å): 8.511 8.511 8.511
angles (deg): 116.62 116.62 95.96
Positions (direct):
Cs: 0.250 0.750 0.500
Cs: 0.750 0.250 0.500
Pb: 0.000 0.000 0.000
I: 0.500 0.500 0.000
Br: 0.227 0.227 0.454
Br: 0.227 0.773 0.000
Br: 0.263 0.263 0.000
Br: 0.737 0.737 0.000
Br: 0.773 0.227 0.000
Br: 0.773 0.773 0.546

# 4
A plane-wave DFT calculation with PBE was carried out for a relaxed Cs3Pb2I5Br2 crystal.

Output
SG   I4/mmm

a b c (Å): 16.036 16.036 16.036
angles (deg): 157.00 157.00 32.75
Positions (direct):
Cs: 0.000 0.000 0.000
Cs: 0.183 0.183 0.000
Cs: 0.817 0.817 0.000
Pb: 0.393 0.393 0.000
Pb: 0.607 0.607 0.000
I: 0.101 0.601 0.500
I: 0.399 0.899 0.500
I: 0.500 0.500 0.000
I: 0.601 0.101 0.500
I: 0.899 0.399 0.500
Br: 0.298 0.298 0.000
Br: 0.702 0.702 0.000

# 5
A plane-wave DFT calculation with PBE was carried out for a relaxed Cs2PdI2Br4 crystal.

Output
Offset from the most stable computed form   0.0 kJ/mol of atoms
SG   C2/m

a b c (Å): 7.649 7.649 8.668
angles (deg): 124.43 124.43 69.40
Positions (direct):
Cs: 0.250 0.250 0.249
Cs: 0.750 0.750 0.751
Pd: 0.000 0.000 0.500
I: 0.343 0.343 0.843
I: 0.657 0.657 0.157
Br: 0.201 0.798 0.702
Br: 0.202 0.799 0.298
Br: 0.798 0.201 0.702
Br: 0.799 0.202 0.298

# 6
A plane-wave DFT calculation with PBE was carried out for a relaxed CsPdI2Br crystal.

Output
SG   P4/mmm

a b c (Å): 5.653 5.653 5.425
angles (deg): 90.00 90.00 90.00
Positions (direct):
Cs: 0.000 0.000 0.000
Pd: 0.500 0.500 0.500
I: 0.000 0.500 0.500
I: 0.500 0.000 0.500
Br: 0.500 0.500 0.000

# 7
A plane-wave DFT calculation with PBE was carried out for a relaxed Cs2PdI2Br4 crystal.

Output
Offset from the most stable computed form   1.5 kJ/mol of atoms
SG   I4/mmm

a b c (Å): 7.821 7.821 7.821
angles (deg): 117.04 117.04 95.21
Positions (direct):
Cs: 0.250 0.750 0.500
Cs: 0.750 0.250 0.500
Pd: 0.000 0.000 0.000
I: 0.258 0.258 0.000
I: 0.742 0.742 0.000
Br: 0.218 0.218 0.437
Br: 0.218 0.782 0.000
Br: 0.782 0.218 0.000
Br: 0.782 0.782 0.563

# 8
A plane-wave DFT calculation with PBE was carried out for a relaxed CsPmIBr3 crystal.

Output
SG   C2/m

a b c (Å): 8.309 8.309 10.843
angles (deg): 95.35 95.35 59.34
Positions (direct):
Cs: 0.162 0.162 0.391
Cs: 0.838 0.838 0.609
Pm: 0.474 0.474 0.217
Pm: 0.526 0.526 0.783
I: 0.252 0.748 0.000
I: 0.748 0.252 0.000
Br: 0.133 0.628 0.325
Br: 0.351 0.351 0.662
Br: 0.372 0.867 0.675
Br: 0.628 0.133 0.325
Br: 0.649 0.649 0.338
Br: 0.867 0.372 0.675

# 9
A plane-wave DFT calculation with PBE was carried out for a relaxed CsPrIBr3 crystal.

Output
SG   C2/m

a b c (Å): 9.995 9.995 11.257
angles (deg): 123.04 123.04 49.13
Positions (direct):
Cs: 0.129 0.129 0.244
Cs: 0.871 0.871 0.756
Pr: 0.489 0.489 0.269
Pr: 0.511 0.511 0.731
I: 0.256 0.744 0.500
I: 0.744 0.256 0.500
Br: 0.153 0.670 0.069
Br: 0.329 0.329 0.632
Br: 0.330 0.847 0.931
Br: 0.670 0.153 0.069
Br: 0.671 0.671 0.368
Br: 0.847 0.330 0.931

# 10
A plane-wave DFT calculation with PBE was carried out for a relaxed Cs2PtIBr6 crystal.

Output
Offset from the most stable computed form   0.0 kJ/mol of atoms
SG   I4/mmm

a b c (Å): 8.254 8.254 8.254
angles (deg): 122.44 122.44 85.82
Positions (direct):
Cs: 0.250 0.750 0.500
Cs: 0.750 0.250 0.500
Pt: 0.000 0.000 0.000
I: 0.500 0.500 0.000
Br: 0.207 0.207 0.000
Br: 0.228 0.228 0.457
Br: 0.228 0.772 0.000
Br: 0.772 0.228 0.000
Br: 0.772 0.772 0.543
Br: 0.793 0.793 0.000

# 11
A plane-wave DFT calculation with PBE was carried out for a relaxed Cs2PtIBr6 crystal.

Output
Offset from the most stable computed form   3.9 kJ/mol of atoms
SG   R-3m

a b c (Å): 17.607 17.607 17.607
angles (deg): 25.46 25.46 25.46
Positions (direct):
Cs: 0.136 0.136 0.136
Cs: 0.306 0.306 0.306
Cs: 0.694 0.694 0.694
Cs: 0.864 0.864 0.864
Pt: 0.000 0.000 0.000
Pt: 0.500 0.500 0.500
I: 0.405 0.405 0.405
I: 0.595 0.595 0.595
Br: 0.166 0.625 0.625
Br: 0.182 0.182 0.724
Br: 0.182 0.724 0.182
Br: 0.276 0.818 0.818
Br: 0.375 0.375 0.834
Br: 0.375 0.834 0.375
Br: 0.625 0.166 0.625
Br: 0.625 0.625 0.166
Br: 0.724 0.182 0.182
Br: 0.818 0.276 0.818
Br: 0.818 0.818 0.276
Br: 0.834 0.375 0.375

# 12
A plane-wave DFT calculation with PBE was carried out for a relaxed CsPtI2Br crystal.

Output
SG   P4/mmm

a b c (Å): 5.637 5.637 5.421
angles (deg): 90.00 90.00 90.00
Positions (direct):
Cs: 0.000 0.000 0.000
Pt: 0.500 0.500 0.500
I: 0.000 0.500 0.500
I: 0.500 0.000 0.500
Br: 0.500 0.500 0.000

V for the records above, in order: 561.5, 371.6, 455.6, 628.8, 344.6, 173.4, 351.9, 640.3, 680.6, 381.8, 887.9, 172.3 Å³ per cell
Uncorrected formation energy for the records above, in order: -1515, -834, -909, -1349, -813, -373, -799, -984, -979, -831, -792, -319 kJ/mol of formula units
Total magnetization for the records above, in order: 0.00, 0.00, 0.00, 0.00, 0.00, 0.00, 0.00, 0.00, 0.00, 0.00, 2.13, 0.00 Bohr magnetons per cell